Compound: AcPaRh
Source: the Alexandria database
Functional: PBE
Structure: optimized geometry

a b c (Å): 3.861 3.905 11.893
angles (deg): 90.00 90.00 90.00
Space group Pmmn (No. 59, origin choice 2)
Symmetry-distinct sites (fractional):
Ac  0.250  0.250  0.125
Pa  0.250  0.750  0.389
Rh  0.250  0.750  0.632

Formation energy from the elements (eV per atom): -0.41